1.
This record from the Alexandria database describes LiRu2Rh after structural relaxation. The functional is PBE.

The energy of formation comes out at 0.10 eV per atom. The spin magnetization is 0.0 μB/cell. The density of states at the Fermi level is 1.03 states/eV/atom. For the energy above the most stable polymorph in this dataset, the calculation gives 10 meV/atom.

The structure belongs to space group C2/m (No. 12); the cell edges are 8.9744, 2.6879 and 4.5597 Å and the angles 90.00°, 98.38° and 90.00°. The distinct sites, in fractional coordinates, are Li at (0.0000, 0.0000, 0.0000), Ru at (0.2407, 0.0000, 0.7546) and Rh at (0.0000, 0.5000, 0.5000).



2.
This record from the Alexandria database describes Li2RuRh after structural relaxation. The functional is PBE.

The energy of formation comes out at 0.00 eV per atom. The spin magnetization is 0.0 μB/cell. The density of states at the Fermi level is 0.61 states/eV/atom. For the energy above the most stable polymorph in this dataset, the calculation gives 0 meV/atom.

The structure belongs to space group R-3m (No. 166, hexagonal axes); the cell edges are 2.6498, 2.6498 and 26.7823 Å and the angles 90.00°, 90.00° and 120.00°. The distinct sites, in fractional coordinates, are Li at (0.0000, 0.0000, 0.2486), Ru at (0.0000, 0.0000, 0.0000) and Rh at (0.0000, 0.0000, 0.5000).



3.
This record from the Alexandria database describes LiRu2Rh after structural relaxation. The functional is PBE.

The energy of formation comes out at 0.20 eV per atom. The spin magnetization is 4.9 μB/cell. The density of states at the Fermi level is 0.94 states/eV/atom. For the energy above the most stable polymorph in this dataset, the calculation gives 106 meV/atom.

The structure belongs to space group F-43m (No. 216); the cell edges are 6.0080, 6.0080 and 6.0080 Å and the angles 90.00°, 90.00° and 90.00°. The distinct sites, in fractional coordinates, are Li at (0.0000, 0.0000, 0.0000), Ru at (0.0000, 0.0000, 0.5000), Ru at (0.2500, 0.2500, 0.2500) and Rh at (0.2500, 0.2500, 0.7500).



4.
This record from the Alexandria database describes LiRu2Rh after structural relaxation. The functional is PBE.

The energy of formation comes out at 0.16 eV per atom. The spin magnetization is 0.0 μB/cell. The density of states at the Fermi level is 1.01 states/eV/atom. For the energy above the most stable polymorph in this dataset, the calculation gives 69 meV/atom.

The structure belongs to space group Immm (No. 71); the cell edges are 2.8793, 4.2916 and 8.5290 Å and the angles 90.00°, 90.00° and 90.00°. The distinct sites, in fractional coordinates, are Li at (0.0000, 0.0000, 0.0000), Ru at (0.0000, 0.5000, 0.2633) and Rh at (0.0000, 0.0000, 0.5000).